[1]
A plane-wave DFT calculation with PBE was carried out for a relaxed structure of RuRhBr2. Values from VASP.

## Properties
total DFT energy (no corrections): -16.71 eV per cell
volume: 76.3 Å³ per cell
magnetization: 1.87 μB per formula unit

```
&SYSTEM
  ibrav = 0, nat = 4, ntyp = 3
/
ATOMIC_SPECIES
Ru 101.07 Ru.upf
Rh 102.91 Rh.upf
Br 79.90 Br.upf
ATOMIC_POSITIONS angstrom
Ru -0.068 3.358 1.330
Rh 3.264 0.789 1.330
Br 0.000 0.000 0.000
Br 2.055 2.666 -0.022
CELL_PARAMETERS angstrom
5.387 0.098 -0.022
-1.278 5.235 -0.022
1.141 1.481 2.682
```


[2]
A plane-wave DFT calculation with PBE was carried out for a relaxed structure of Ru2RhBr. Values from VASP.

## Properties
total DFT energy (no corrections): -24.59 eV per cell
volume: 61.5 Å³ per cell
magnetization: 0.00 μB per formula unit

```
&SYSTEM
  ibrav = 0, nat = 4, ntyp = 3
/
ATOMIC_SPECIES
Ru 101.07 Ru.upf
Rh 102.91 Rh.upf
Br 79.90 Br.upf
ATOMIC_POSITIONS angstrom
Ru 0.000 0.385 0.010
Ru 0.000 1.867 2.529
Rh 2.061 3.377 3.809
Br 2.061 1.126 1.270
CELL_PARAMETERS angstrom
4.122 0.000 0.000
0.000 2.941 0.006
0.000 1.561 5.073
```